Entry 1:
The following is a PBE calculation of a relaxed Tl3CoRh crystal, from Alexandria via LeMat-Bulk. Values from VASP.

Calculated values
Total magnetic moment: 2.1 μB per cell
Energy of formation: 714 meV per atom
ΔE to the lowest computed polymorph: 0.0 kJ/mol of formula units

```
&SYSTEM
  ibrav = 0, nat = 5, ntyp = 3
/
ATOMIC_SPECIES
Tl 204.38 Tl.upf
Rh 102.91 Rh.upf
Co 58.93 Co.upf
CELL_PARAMETERS angstrom
-3.8722 -0.2931 -3.5309
0.5685 -5.2142 -0.1906
-3.4972 -0.5231 3.8786
ATOMIC_POSITIONS crystal
Tl 0.0000 0.0000 0.5000
Tl 0.5000 0.0000 0.0000
Tl 0.0000 0.5000 0.0000
Rh 0.0000 0.0000 0.0000
Co 0.5000 0.5000 0.5000
```

Entry 2:
The following is a PBE calculation of a relaxed InSnBiCl6 crystal, from Alexandria via LeMat-Bulk. Values from VASP.

Calculated values
Total magnetic moment: 0.0 μB per cell
Uncorrected formation energy: -0.969 eV per atom

```
&SYSTEM
  ibrav = 0, nat = 18, ntyp = 4
/
ATOMIC_SPECIES
Cl 35.45 Cl.upf
In 114.82 In.upf
Sn 118.71 Sn.upf
Bi 208.98 Bi.upf
CELL_PARAMETERS angstrom
-1.3812 0.6864 -7.1353
1.6460 -6.5436 2.7863
-13.2968 -2.3447 2.3484
ATOMIC_POSITIONS crystal
Cl 0.9860 0.6295 0.3649
Cl 0.3564 0.9860 0.6351
Cl 0.0140 0.3705 0.6351
Cl 0.6436 0.0140 0.3649
Cl 0.6295 0.9860 0.8649
Cl 0.9860 0.3564 0.1351
Cl 0.6436 0.6295 0.1351
Cl 0.3705 0.0140 0.1351
Cl 0.3705 0.3564 0.3649
Cl 0.3564 0.3705 0.8649
Cl 0.0140 0.6436 0.8649
Cl 0.6295 0.6436 0.6351
In 0.0000 0.0000 0.5000
In 0.0000 0.0000 0.0000
Sn 0.3333 0.6667 0.2500
Sn 0.6667 0.3333 0.7500
Bi 0.6667 0.3333 0.2500
Bi 0.3333 0.6667 0.7500
```

Entry 3:
The following is a PBE calculation of a relaxed CsIn2AgPb crystal, from Alexandria via LeMat-Bulk. Values from VASP.

Calculated values
Total magnetic moment: 0.0 μB per cell
Energy of formation: 1258 meV per atom

```
&SYSTEM
  ibrav = 0, nat = 5, ntyp = 4
/
ATOMIC_SPECIES
Cs 132.91 Cs.upf
In 114.82 In.upf
Pb 207.20 Pb.upf
Ag 107.87 Ag.upf
CELL_PARAMETERS angstrom
6.4703 0.0000 0.0000
0.0000 6.3985 0.0000
0.0000 0.0000 6.4703
ATOMIC_POSITIONS crystal
Cs 0.0000 0.0000 0.0000
In 0.5000 0.0000 0.0000
In 0.0000 0.0000 0.5000
Pb 0.0000 0.5000 0.0000
Ag 0.5000 0.5000 0.5000
```

no.,D(E_F) (states/eV per cell)
1,13.78
2,0.00
3,6.71